A | # K2FeAg

A relaxed structure of K2FeAg (PBE, Alexandria).

The space group is I-4m2 (No. 119) and the conventional cell measures 5.473, 5.473 and 7.695 Å, with angles of 90.00, 90.00 and 90.00 degrees. The asymmetric unit holds K at (0.000, 0.000, 0.000), K at (0.000, 0.500, 0.250), Fe at (0.000, 0.500, 0.750) and Ag at (0.000, 0.000, 0.500).

The size of the total moment comes out at 3.1 μB per formula unit.

---

B | # K2FeAg

A relaxed structure of K2FeAg (PBE, Alexandria).

The space group is Cmmm (No. 65) and the conventional cell measures 6.993, 9.269 and 3.965 Å, with angles of 90.00, 90.00 and 90.00 degrees. The asymmetric unit holds K at (0.250, 0.250, 0.000), Fe at (0.000, 0.000, 0.500) and Ag at (0.000, 0.500, 0.500).

The size of the total moment comes out at 3.2 μB per formula unit.

---

C | # K2FeAg

A relaxed structure of K2FeAg (PBE, Alexandria).

The space group is R3m (No. 160, hexagonal axes) and the conventional cell measures 4.4962, 4.4962 and 26.7028 Å, with angles of 90.00, 90.00 and 120.00 degrees. The asymmetric unit holds K at (0.0000, 0.0000, 0.0000), K at (0.0000, 0.0000, 0.1795), Fe at (0.0000, 0.0000, 0.7564) and Ag at (0.0000, 0.0000, 0.4230).

The size of the total moment comes out at 3.0 μB per formula unit.

---

Which is most stable? The ranking, best first, is C, A, B.